Here is a relaxed structure of SmCdGa from Alexandria via LeMat-Bulk. Energies are from PBE-GGA.

Structure (POSCAR):
```
SmCdGa
1.0
7.3634 0.0000 0.0000
-3.6817 6.3769 0.0000
0.0000 0.0000 4.4733
Sm Cd Ga
3 3 3
direct
0.0000 0.5785 0.0000
0.4215 0.4215 0.0000
0.5785 0.0000 0.0000
0.0000 0.2483 0.5000
0.2483 0.0000 0.5000
0.7517 0.7517 0.5000
0.0000 0.0000 0.0000
0.3333 0.6667 0.5000
0.6667 0.3333 0.5000
```

Results
calculated formation energy: -51.0 kJ/mol of atoms
density: 7.9 g cm⁻³
magnetic moment: 0.000 μB per formula unit